Computed, not measured: crystalline KGaTe2 at its relaxed geometry at the PBE level of DFT.

Cell: 12.288 12.288 12.288 Å, 16.19 16.19 16.19°
Atoms (fractional coordinates):
Te 0.089 0.089 0.089
K 0.500 0.500 0.500
Te 0.911 0.911 0.911
Ga 0.000 0.000 0.000

Summary:
Calculated total energy: -2.616 eV per atom
ΔE_f (raw): -0.014 eV per atom
Fermi-level density of states: 0.544 states/eV per atom